## a
Density functional theory data (PBE) for an optimized crystal structure of Tb2Pr7Sm3.

a b c (Å): 5.9950 3.6474 19.3652
angles (deg): 90.00 93.42 90.00
Fractional positions:
Tb 0.2076 0.0000 0.2969
Tb 0.7924 0.0000 0.7031
Pr 0.1788 0.5000 0.1456
Pr 0.2428 0.0000 0.4647
Pr 0.3183 0.0000 0.8168
Pr 0.5000 0.5000 0.0000
Pr 0.6817 0.0000 0.1832
Pr 0.7572 0.0000 0.5353
Pr 0.8212 0.5000 0.8544
Sm 0.0000 0.0000 0.0000
Sm 0.2826 0.5000 0.6332
Sm 0.7174 0.5000 0.3668

Values from the calculation:
DOS at the Fermi energy in states/eV per atom: 1.45

***

## b
Density functional theory data (PBE) for an optimized crystal structure of Tb2Pr7Sm3.

a b c (Å): 6.5643 3.6048 17.8877
angles (deg): 90.00 95.92 90.00
Fractional positions:
Tb 0.0581 0.0000 0.1696
Tb 0.9419 0.0000 0.8304
Pr 0.0000 0.5000 0.5000
Pr 0.2236 0.0000 0.6709
Pr 0.2563 0.0000 0.9942
Pr 0.2747 0.5000 0.3318
Pr 0.7253 0.5000 0.6682
Pr 0.7437 0.0000 0.0058
Pr 0.7764 0.0000 0.3291
Sm 0.4549 0.5000 0.8392
Sm 0.5000 0.0000 0.5000
Sm 0.5451 0.5000 0.1608

Values from the calculation:
DOS at the Fermi energy in states/eV per atom: 1.50

***

Quick one: most stable of them? b

***

## a
Density functional theory data (PBE) for an optimized crystal structure of Tb5PrSm3.

a b c (Å): 9.5721 9.5721 9.9347
angles (deg): 120.94 120.94 73.70
Fractional positions:
Tb 0.1026 0.6024 0.2517
Tb 0.2223 0.2223 0.2239
Tb 0.2432 0.7568 0.0000
Tb 0.2743 0.2743 0.9535
Tb 0.3976 0.8974 0.7483
Tb 0.6024 0.1026 0.2517
Tb 0.7257 0.7257 0.0465
Tb 0.7568 0.2432 0.0000
Tb 0.7777 0.7777 0.7761
Tb 0.8974 0.3976 0.7483
Pr 0.2521 0.2521 0.5894
Pr 0.7479 0.7479 0.4106
Sm 0.0000 0.0000 0.5000
Sm 0.0066 0.0066 0.8140
Sm 0.4810 0.4810 0.6418
Sm 0.5000 0.5000 0.0000
Sm 0.5190 0.5190 0.3582
Sm 0.9934 0.9934 0.1860

Values from the calculation:
DOS at the Fermi energy in states/eV per atom: 1.40

***

## b
Density functional theory data (PBE) for an optimized crystal structure of Tb5PrSm3.

a b c (Å): 10.6278 10.6278 11.5771
angles (deg): 120.30 120.30 33.46
Fractional positions:
Tb 0.0383 0.6828 0.3596
Tb 0.0947 0.9053 0.7500
Tb 0.1184 0.5224 0.6618
Tb 0.3172 0.9617 0.1404
Tb 0.4776 0.8816 0.8382
Tb 0.5224 0.1184 0.1618
Tb 0.6828 0.0383 0.8596
Tb 0.8816 0.4776 0.3382
Tb 0.9053 0.0947 0.2500
Tb 0.9617 0.3172 0.6404
Pr 0.3886 0.6114 0.2500
Pr 0.6114 0.3886 0.7500
Sm 0.1031 0.5304 0.9612
Sm 0.4696 0.8969 0.5388
Sm 0.5000 0.5000 0.0000
Sm 0.5000 0.5000 0.5000
Sm 0.5304 0.1031 0.4612
Sm 0.8969 0.4696 0.0388

Values from the calculation:
DOS at the Fermi energy in states/eV per atom: 1.40

***

Quick one: most stable of them? b

***

## a
Density functional theory data (PBE) for an optimized crystal structure of Tb3PrSm6.

a b c (Å): 11.7517 11.7517 6.4795
angles (deg): 90.00 90.00 130.88
Fractional positions:
Tb 0.0809 0.9191 0.5000
Tb 0.2035 0.4589 0.8860
Tb 0.4589 0.2035 0.3860
Tb 0.5411 0.7965 0.8860
Tb 0.7965 0.5411 0.3860
Tb 0.9191 0.0809 0.0000
Pr 0.3419 0.6581 0.4101
Pr 0.6581 0.3419 0.9101
Sm 0.0435 0.6078 0.7331
Sm 0.1199 0.2383 0.4783
Sm 0.1989 0.8011 0.2036
Sm 0.2383 0.1199 0.9783
Sm 0.3922 0.9565 0.7331
Sm 0.4860 0.5140 0.2013
Sm 0.5140 0.4860 0.7013
Sm 0.6078 0.0435 0.2331
Sm 0.7617 0.8801 0.4783
Sm 0.8011 0.1989 0.7036
Sm 0.8801 0.7617 0.9783
Sm 0.9565 0.3922 0.2331

Values from the calculation:
DOS at the Fermi energy in states/eV per atom: 1.50

***

## b
Density functional theory data (PBE) for an optimized crystal structure of Tb3PrSm6.

a b c (Å): 11.0954 11.0954 6.3326
angles (deg): 90.00 90.00 120.26
Fractional positions:
Tb 0.1152 0.8848 0.5000
Tb 0.2111 0.4412 0.8780
Tb 0.4412 0.2111 0.3780
Tb 0.5588 0.7889 0.8780
Tb 0.7889 0.5588 0.3780
Tb 0.8848 0.1152 0.0000
Pr 0.3050 0.6950 0.5281
Pr 0.6950 0.3050 0.0281
Sm 0.0287 0.4466 0.2892
Sm 0.1262 0.2093 0.4628
Sm 0.2093 0.1262 0.9628
Sm 0.2197 0.7803 0.0592
Sm 0.4466 0.0287 0.7892
Sm 0.4624 0.5376 0.2921
Sm 0.5376 0.4624 0.7921
Sm 0.5534 0.9713 0.2892
Sm 0.7803 0.2197 0.5592
Sm 0.7907 0.8738 0.4628
Sm 0.8738 0.7907 0.9628
Sm 0.9713 0.5534 0.7892

Values from the calculation:
DOS at the Fermi energy in states/eV per atom: 1.46

***

Quick one: most stable of them? a

***

## a
Density functional theory data (PBE) for an optimized crystal structure of Tb5Pr4Sm.

a b c (Å): 8.1469 8.1469 8.1469
angles (deg): 98.06 98.06 136.01
Fractional positions:
Tb 0.0000 0.0000 0.0000
Tb 0.0717 0.0717 0.6226
Tb 0.0717 0.4491 0.0000
Tb 0.4491 0.0717 0.0000
Tb 0.4491 0.4491 0.3774
Pr 0.1116 0.7867 0.3249
Pr 0.4618 0.7867 0.6751
Pr 0.7867 0.1116 0.3249
Pr 0.7867 0.4618 0.6751
Sm 0.5289 0.5289 0.0000

Values from the calculation:
DOS at the Fermi energy in states/eV per atom: 1.33

***

## b
Density functional theory data (PBE) for an optimized crystal structure of Tb5Pr4Sm.

a b c (Å): 3.5688 8.8663 11.3694
angles (deg): 89.89 89.95 78.51
Fractional positions:
Tb 0.0000 0.0000 0.0000
Tb 0.3238 0.3482 0.5520
Tb 0.3255 0.3466 0.9503
Tb 0.6745 0.6534 0.0497
Tb 0.6762 0.6518 0.4480
Pr 0.1605 0.6863 0.7499
Pr 0.4719 0.0637 0.7509
Pr 0.5281 0.9363 0.2491
Pr 0.8395 0.3137 0.2501
Sm 0.0000 0.0000 0.5000

Values from the calculation:
DOS at the Fermi energy in states/eV per atom: 1.43

***

Quick one: most stable of them? b

***

## a
Density functional theory data (PBE) for an optimized crystal structure of Tb6Pr2Sm3.

a b c (Å): 6.1979 6.1979 11.7908
angles (deg): 95.08 95.08 120.11
Fractional positions:
Tb 0.0838 0.4170 0.7512
Tb 0.2495 0.2495 0.2485
Tb 0.4170 0.0838 0.7512
Tb 0.5830 0.9162 0.2488
Tb 0.7505 0.7505 0.7515
Tb 0.9162 0.5830 0.2488
Pr 0.3333 0.6667 0.5000
Pr 0.6667 0.3333 0.5000
Sm 0.1645 0.8356 0.0000
Sm 0.5000 0.5000 0.0000
Sm 0.8356 0.1645 0.0000

Values from the calculation:
DOS at the Fermi energy in states/eV per atom: 1.56

***

## b
Density functional theory data (PBE) for an optimized crystal structure of Tb6Pr2Sm3.

a b c (Å): 17.1221 17.1221 17.1221
angles (deg): 163.93 163.93 22.80
Fractional positions:
Tb 0.1219 0.6219 0.5000
Tb 0.1956 0.1956 0.0000
Tb 0.3781 0.8781 0.5000
Tb 0.6219 0.1219 0.5000
Tb 0.8044 0.8044 0.0000
Tb 0.8781 0.3781 0.5000
Pr 0.0463 0.0463 0.0000
Pr 0.9537 0.9537 0.0000
Sm 0.2980 0.2980 0.0000
Sm 0.5000 0.5000 0.0000
Sm 0.7020 0.7020 0.0000

Values from the calculation:
DOS at the Fermi energy in states/eV per atom: 1.45

***

Quick one: most stable of them? a

***

## a
Density functional theory data (PBE) for an optimized crystal structure of Tb3Pr7Sm2.

a b c (Å): 5.9755 3.6562 19.3008
angles (deg): 90.00 93.59 90.00
Fractional positions:
Tb 0.0000 0.0000 0.0000
Tb 0.2833 0.5000 0.6322
Tb 0.7167 0.5000 0.3678
Pr 0.1739 0.5000 0.1447
Pr 0.2422 0.0000 0.4646
Pr 0.3227 0.0000 0.8176
Pr 0.5000 0.5000 0.0000
Pr 0.6773 0.0000 0.1824
Pr 0.7578 0.0000 0.5354
Pr 0.8261 0.5000 0.8553
Sm 0.2054 0.0000 0.2976
Sm 0.7946 0.0000 0.7024

Values from the calculation:
DOS at the Fermi energy in states/eV per atom: 1.49

***

## b
Density functional theory data (PBE) for an optimized crystal structure of Tb3Pr7Sm2.

a b c (Å): 6.5573 3.6016 17.8252
angles (deg): 90.00 95.77 90.00
Fractional positions:
Tb 0.0000 0.0000 0.0000
Tb 0.0442 0.5000 0.6598
Tb 0.9558 0.5000 0.3402
Pr 0.2220 0.5000 0.1663
Pr 0.2427 0.0000 0.5058
Pr 0.2746 0.0000 0.8288
Pr 0.5000 0.5000 0.0000
Pr 0.7254 0.0000 0.1712
Pr 0.7573 0.0000 0.4942
Pr 0.7780 0.5000 0.8337
Sm 0.4411 0.0000 0.3302
Sm 0.5589 0.0000 0.6698

Values from the calculation:
DOS at the Fermi energy in states/eV per atom: 1.50

***

Quick one: most stable of them? b